# BaYTh PBE relaxed
# * raw total energy: -4.9945 eV per atom
# * Fermi-level density of states: 1.615 states/eV per atom
# * ΔH_f (0 K): 274 meV/atom
data_BaYTh
_space_group_name_H-M_alt 'A m m 2'
_space_group_IT_number 38
_cell_length_a 19.178
_cell_length_b 3.700
_cell_length_c 6.407
_cell_angle_alpha 90.00
_cell_angle_beta 90.00
_cell_angle_gamma 90.00
loop_
_space_group_symop_operation_xyz
'x,y,z'
'-x,-y,z'
'-x,y,z'
'x,-y,z'
'x,y+1/2,z+1/2'
'-x,-y+1/2,z+1/2'
'-x,y+1/2,z+1/2'
'x,-y+1/2,z+1/2'
loop_
_atom_site_label
_atom_site_fract_x
_atom_site_fract_y
_atom_site_fract_z
Ba1 0.174 0.000 0.000
Y1 0.000 0.000 0.666
Y2 0.500 0.000 0.001
Th1 0.351 0.000 0.668

# Ba2CaYH PBE relaxed
# * raw total energy: -3.1572 eV per atom
# * Fermi-level density of states: 0.695 states/eV per atom
data_Ba2CaYH
_space_group_name_H-M_alt 'P 4/m m m'
_space_group_IT_number 123
_space_group_name_Hall '-P 4 2'
_cell_length_a 6.393
_cell_length_b 6.393
_cell_length_c 4.534
_cell_angle_alpha 90.00
_cell_angle_beta 90.00
_cell_angle_gamma 90.00
loop_
_atom_site_label
_atom_site_fract_x
_atom_site_fract_y
_atom_site_fract_z
Ba1 0.000 0.500 0.000
Ca1 0.000 0.000 0.500
Y1 0.500 0.500 0.500
H1 0.500 0.500 0.000

# CaAc2AlN PBE relaxed
# * raw total energy: -5.0529 eV per atom
# * Fermi-level density of states: 0.412 states/eV per atom
# * energy relative to the elements, uncorrected: -2.98 eV per formula unit
data_CaAc2AlN
_space_group_name_H-M_alt 'P 4/m m m'
_space_group_IT_number 123
_space_group_name_Hall '-P 4 2'
_cell_length_a 5.338
_cell_length_b 5.338
_cell_length_c 4.915
_cell_angle_alpha 90.00
_cell_angle_beta 90.00
_cell_angle_gamma 90.00
loop_
_atom_site_label
_atom_site_fract_x
_atom_site_fract_y
_atom_site_fract_z
Ca1 0.000 0.000 0.000
Ac1 0.000 0.500 0.500
Al1 0.500 0.500 0.000
N1 0.000 0.000 0.500

# La8Pr3Er2 PBE relaxed
# * E above lowest polymorph: 0 meV per atom
# * raw total energy: -4.6993 eV per atom
# * Fermi-level density of states: 1.716 states/eV per atom
# * ΔH_f (0 K): 138 meV/atom
data_La8Pr3Er2
_space_group_name_H-M_alt 'C 1 2/m 1'
_space_group_IT_number 12
_cell_length_a 13.518
_cell_length_b 11.977
_cell_length_c 6.274
_cell_angle_alpha 90.00
_cell_angle_beta 112.63
_cell_angle_gamma 90.00
loop_
_space_group_symop_operation_xyz
'x,y,z'
'-x,-y,-z'
'-x,y,-z'
'x,-y,z'
'x+1/2,y+1/2,z'
'-x+1/2,-y+1/2,-z'
'-x+1/2,y+1/2,-z'
'x+1/2,-y+1/2,z'
loop_
_atom_site_label
_atom_site_fract_x
_atom_site_fract_y
_atom_site_fract_z
La1 0.052 0.000 0.295
La2 0.146 0.500 0.554
La3 0.177 0.241 0.175
Pr1 0.000 0.253 0.500
Pr2 0.000 0.500 0.000
Er1 0.212 0.000 0.844